A plane-wave DFT calculation with PBE with a Hubbard U was carried out for a geometry-optimized Re2WO6 structure.

Cell lengths 4.934, 4.934, 8.612 Å; angles 90.00, 90.00, 90.00 degrees
Atoms (fractional coordinates):
Re 0.500 0.500 0.323
Re 0.500 0.500 0.677
Re 0.000 0.000 0.177
Re 0.000 0.000 0.823
W 0.500 0.500 0.000
W 0.000 0.000 0.500
O 0.720 0.720 0.174
O 0.720 0.720 0.826
O 0.692 0.692 0.500
O 0.808 0.192 0.000
O 0.780 0.220 0.326
O 0.780 0.220 0.674
O 0.220 0.780 0.326
O 0.220 0.780 0.674
O 0.192 0.808 0.000
O 0.308 0.308 0.500
O 0.280 0.280 0.174
O 0.280 0.280 0.826

Values from the calculation:
Uncorrected energy in eV per cell: -149.686